This record from the Alexandria database describes NaLa2MgC after structural relaxation. The functional is PBE.

## Properties
Calculated density, g cm⁻³: 3.23
Space-group type: P4/mmm (123)
Energy of formation from the pure elements, eV/atom: 1.70

Cell: 5.8516 5.0555 5.8516 Å, 90.00 90.00 90.00°
Last column: nearest neighbours and their distance in Å.
Atoms (fractional coordinates):
1 Na 0.0000 0.5000 0.0000  2 Mg 2.53
2 Mg 0.0000 0.0000 0.0000  2 Na 2.53
3 C 0.5000 0.5000 0.5000  8 La 3.87, 4 Na 4.14
4 La 0.0000 0.0000 0.5000  2 Mg 2.93
5 La 0.5000 0.0000 0.0000  2 Mg 2.93


This record from the Alexandria database describes LaMgCO2 after structural relaxation. The functional is PBE.

## Properties
Calculated density, g cm⁻³: 1.99
Uncorrected formation energy, eV per atom: 0.087
Space-group type: P4/mmm (123)

Cell: 4.2114 9.7337 4.2114 Å, 90.00 90.00 90.00°
Last column: nearest neighbours and their distance in Å.
Atoms (fractional coordinates):
1 Mg 0.0000 0.5000 0.0000  4 C 2.98
2 C 0.5000 0.5000 0.5000  4 Mg 2.98
3 O 0.0000 0.0000 0.5000  2 La 2.11
4 O 0.5000 0.0000 0.0000  2 La 2.11
5 La 0.0000 0.0000 0.0000  4 O 2.11


This record from the Alexandria database describes LaMg3C4O12 after structural relaxation. The functional is PBE.

## Properties
Calculated density, g cm⁻³: 3.46
Uncorrected formation energy, eV per atom: -2.008
Space-group type: R32 (155)

Cell: 6.1916 6.1916 6.1916 Å, 102.61 102.61 102.61°
Last column: nearest neighbours and their distance in Å.
Atoms (fractional coordinates):
1 La 0.0000 0.0000 0.0000  6 O 2.48
2 Mg 0.5459 0.4541 0.0000  6 O 2.06-2.15
3 Mg 0.4541 0.0000 0.5459  6 O 2.06-2.15
4 Mg 0.0000 0.5459 0.4541  6 O 2.06-2.15
5 C 0.9537 0.0463 0.5000  3 O 1.31-1.32
6 C 0.0463 0.5000 0.9537  3 O 1.31-1.32
7 C 0.5000 0.9537 0.0463  3 O 1.31-1.32
8 C 0.5000 0.5000 0.5000  3 O 1.30
9 O 0.5000 0.3653 0.6347  1 C 1.30
10 O 0.9097 0.5000 0.0903  1 C 1.32
11 O 0.0903 0.9097 0.5000  1 C 1.32
12 O 0.5000 0.0903 0.9097  1 C 1.32
13 O 0.3830 0.9732 0.1983  1 C 1.31
14 O 0.1983 0.3830 0.9732  1 C 1.31
15 O 0.9732 0.1983 0.3830  1 C 1.31
16 O 0.6170 0.8017 0.0268  1 C 1.31
17 O 0.0268 0.6170 0.8017  1 C 1.31
18 O 0.8017 0.0268 0.6170  1 C 1.31
19 O 0.6347 0.5000 0.3653  1 C 1.30
20 O 0.3653 0.6347 0.5000  1 C 1.30


This record from the Alexandria database describes La2MgOsC after structural relaxation. The functional is PBE.

## Properties
Calculated density, g cm⁻³: 7.30
Space-group type: P4/mmm (123)
Energy of formation from the pure elements, eV/atom: -0.19

Cell: 5.3869 5.3869 3.9545 Å, 90.00 90.00 90.00°
Last column: nearest neighbours and their distance in Å.
Atoms (fractional coordinates):
1 Mg 0.5000 0.5000 0.5000  8 La 3.34
2 Os 0.0000 0.0000 0.5000  2 C 1.98
3 C 0.0000 0.0000 0.0000  2 Os 1.98
4 La 0.0000 0.5000 0.0000  2 C 2.69
5 La 0.5000 0.0000 0.0000  2 C 2.69


This record from the Alexandria database describes LaMg2PC after structural relaxation. The functional is PBE.

## Properties
Calculated density, g cm⁻³: 2.54
Space-group type: P4/mmm (123)
Energy of formation from the pure elements, eV/atom: 1.58

Cell: 6.0409 4.1326 6.0409 Å, 90.00 90.00 90.00°
Last column: nearest neighbours and their distance in Å.
Atoms (fractional coordinates):
1 P 0.5000 0.5000 0.5000  8 Mg 3.66
2 Mg 0.0000 0.0000 0.5000  2 La 3.02
3 Mg 0.5000 0.0000 0.0000  2 La 3.02
4 C 0.0000 0.5000 0.0000  2 La 2.07
5 La 0.0000 0.0000 0.0000  2 C 2.07


This record from the Alexandria database describes LaMgPbC2 after structural relaxation. The functional is PBE.

## Properties
Calculated density, g cm⁻³: 5.20
Space-group type: P4/mmm (123)
Energy of formation from the pure elements, eV/atom: 1.82

Cell: 4.5775 6.0081 4.5775 Å, 90.00 90.00 90.00°
Last column: nearest neighbours and their distance in Å.
Atoms (fractional coordinates):
1 Pb 0.5000 0.5000 0.5000  4 Mg 3.24
2 Mg 0.0000 0.5000 0.0000  2 La 3.00, 4 Pb 3.24
3 C 0.0000 0.0000 0.5000  2 La 2.29
4 C 0.5000 0.0000 0.0000  2 La 2.29
5 La 0.0000 0.0000 0.0000  4 C 2.29


This record from the Alexandria database describes La2MgPbC after structural relaxation. The functional is PBE.

## Properties
Calculated density, g cm⁻³: 6.79
Space-group type: P4/mmm (123)
Energy of formation from the pure elements, eV/atom: -0.33

Cell: 5.3005 5.3005 4.5373 Å, 90.00 90.00 90.00°
Last column: nearest neighbours and their distance in Å.
Atoms (fractional coordinates):
1 Pb 0.5000 0.5000 0.5000  8 La 3.49, 4 Mg 3.75
2 Mg 0.0000 0.0000 0.5000  2 C 2.27
3 C 0.0000 0.0000 0.0000  2 Mg 2.27
4 La 0.0000 0.5000 0.0000  2 C 2.65
5 La 0.5000 0.0000 0.0000  2 C 2.65


This record from the Alexandria database describes La2MgReC after structural relaxation. The functional is PBE.

## Properties
Calculated density, g cm⁻³: 7.12
Space-group type: P4/mmm (123)
Energy of formation from the pure elements, eV/atom: -0.06

Cell: 5.3821 5.3821 4.0289 Å, 90.00 90.00 90.00°
Last column: nearest neighbours and their distance in Å.
Atoms (fractional coordinates):
1 Re 0.0000 0.0000 0.5000  2 C 2.01
2 Mg 0.5000 0.5000 0.5000  8 La 3.36
3 C 0.0000 0.0000 0.0000  2 Re 2.01
4 La 0.0000 0.5000 0.0000  2 C 2.69
5 La 0.5000 0.0000 0.0000  2 C 2.69


This record from the Alexandria database describes LaMg2Ru2C after structural relaxation. The functional is PBE.

## Properties
Calculated density, g cm⁻³: 6.30
Space-group type: P4/mmm (123)
Energy of formation from the pure elements, eV/atom: -0.06

Cell: 4.2016 4.2016 5.9934 Å, 90.00 90.00 90.00°
Last column: nearest neighbours and their distance in Å.
Atoms (fractional coordinates):
1 La 0.0000 0.0000 0.5000  2 C 3.00, 8 Mg 3.30
2 Mg 0.5000 0.5000 0.7397  4 Ru 2.62, 1 Mg 2.87
3 Mg 0.5000 0.5000 0.2603  4 Ru 2.62, 1 Mg 2.87
4 Ru 0.5000 0.0000 0.0000  2 C 2.10
5 Ru 0.0000 0.5000 0.0000  2 C 2.10
6 C 0.0000 0.0000 0.0000  4 Ru 2.10


This record from the Alexandria database describes La2MgSbC after structural relaxation. The functional is PBE.

## Properties
Calculated density, g cm⁻³: 5.82
Uncorrected formation energy, eV per atom: -0.518
Space-group type: P4/mmm (123)

Cell: 5.3010 5.3010 4.4232 Å, 90.00 90.00 90.00°
Last column: nearest neighbours and their distance in Å.
Atoms (fractional coordinates):
1 Sb 0.5000 0.5000 0.5000  8 La 3.45, 4 Mg 3.75
2 Mg 0.0000 0.0000 0.5000  2 C 2.21
3 C 0.0000 0.0000 0.0000  2 Mg 2.21
4 La 0.0000 0.5000 0.0000  2 C 2.65
5 La 0.5000 0.0000 0.0000  2 C 2.65


This record from the Alexandria database describes LaMgSc2C after structural relaxation. The functional is PBE.

## Properties
Calculated density, g cm⁻³: 3.84
Space-group type: P4/mmm (123)
Energy of formation from the pure elements, eV/atom: -0.17

Cell: 4.6498 4.6498 5.2978 Å, 90.00 90.00 90.00°
Last column: nearest neighbours and their distance in Å.
Atoms (fractional coordinates):
1 Sc 0.0000 0.5000 0.0000  2 C 2.32
2 Sc 0.5000 0.0000 0.0000  2 C 2.32
3 Mg 0.5000 0.5000 0.5000  4 La 3.29, 8 Sc 3.52
4 C 0.0000 0.0000 0.0000  4 Sc 2.32
5 La 0.0000 0.0000 0.5000  2 C 2.65


This record from the Alexandria database describes La2MgSnC after structural relaxation. The functional is PBE.

## Properties
Calculated density, g cm⁻³: 5.73
Space-group type: P4/mmm (123)
Energy of formation from the pure elements, eV/atom: -0.40

Cell: 5.2804 5.2804 4.4970 Å, 90.00 90.00 90.00°
Last column: nearest neighbours and their distance in Å.
Atoms (fractional coordinates):
1 C 0.0000 0.0000 0.0000  2 Mg 2.25
2 Mg 0.0000 0.0000 0.5000  2 C 2.25
3 Sn 0.5000 0.5000 0.5000  8 La 3.47, 4 Mg 3.73
4 La 0.0000 0.5000 0.0000  2 C 2.64
5 La 0.5000 0.0000 0.0000  2 C 2.64


Q: The lowest calculated density belongs to which entry?
A: LaMgCO2


Q: Number 2 is which compound?
A: LaMgCO2